Entry 1:
Entry from Alexandria: crystalline NaAu2F8 at its relaxed geometry (PBE).

a = 5.2664 Å, b = 6.1295 Å, c = 6.8899 Å
α = 124.27°, β = 90.06°, γ = 93.34°
Element x y z (fractional)
Na1 0.0000 0.0000 0.0000
Au1 0.2531 0.2858 0.6433
Au2 0.7469 0.7142 0.3567
F1 0.2428 0.8992 0.4505
F2 0.7572 0.1008 0.5495
F3 0.7543 0.7160 0.0750
F4 0.2472 0.2816 0.3584
F5 0.2688 0.6690 0.8343
F6 0.2457 0.2841 0.9250
F7 0.7528 0.7184 0.6415
F8 0.7312 0.3310 0.1657

formation energy (no corrections) = -1.32 eV/atom
spin magnetization = 1.2 μB/cell
D(E_F) = 17.323 states/eV/cell
space-group type = P-1
energy relative to the lowest polymorph listed for this composition = 10 meV/atom

Entry 2:
Entry from Alexandria: crystalline NaAu2F8 at its relaxed geometry (PBE).

a = 5.7036 Å, b = 5.7036 Å, c = 6.7070 Å
α = 115.16°, β = 115.16°, γ = 90.00°
Element x y z (fractional)
Na1 0.5000 0.5000 0.0000
Au1 0.7500 0.2500 0.5000
Au2 0.2500 0.7500 0.5000
F1 0.7946 0.3026 0.2488
F2 0.0538 0.5459 0.7512
F3 0.6974 0.2054 0.7512
F4 0.2054 0.0538 0.7512
F5 0.4541 0.9462 0.2488
F6 0.9462 0.7946 0.2488
F7 0.3026 0.4541 0.2488
F8 0.5459 0.6974 0.7512

formation energy (no corrections) = -1.33 eV/atom
spin magnetization = 0.9 μB/cell
D(E_F) = 10.129 states/eV/cell
space-group type = I422
energy relative to the lowest polymorph listed for this composition = 0 meV/atom

Entry 3:
Entry from Alexandria: crystalline NaAuF3 at its relaxed geometry (PBE).

a = 7.3494 Å, b = 6.8319 Å, c = 7.1524 Å
α = 90.00°, β = 116.70°, γ = 90.00°
Element x y z (fractional)
Na1 0.0535 0.6766 0.1679
Na2 0.4465 0.1766 0.3321
Na3 0.9465 0.3234 0.8321
Na4 0.5535 0.8234 0.6679
Au1 0.5278 0.6368 0.1343
Au2 0.9722 0.1368 0.3657
Au3 0.4722 0.3632 0.8657
Au4 0.0278 0.8632 0.6343
F1 0.2015 0.7146 0.5371
F2 0.2985 0.2146 0.9629
F3 0.7985 0.2854 0.4629
F4 0.7015 0.7854 0.0371
F5 0.8623 0.9983 0.7505
F6 0.6377 0.4983 0.7495
F7 0.1377 0.0017 0.2495
F8 0.3623 0.5017 0.2505
F9 0.5647 0.8605 0.3500
F10 0.9353 0.3605 0.1500
F11 0.4353 0.1395 0.6500
F12 0.0647 0.6395 0.8500

formation energy (no corrections) = -1.71 eV/atom
spin magnetization = 0.0 μB/cell
D(E_F) = 0.000 states/eV/cell
space-group type = P2_1/c
energy relative to the lowest polymorph listed for this composition = 0 meV/atom

Entry 4:
Entry from Alexandria: crystalline Na2AuF5 at its relaxed geometry (PBE).

a = 5.9942 Å, b = 5.7633 Å, c = 5.7037 Å
α = 109.25°, β = 94.39°, γ = 126.53°
Element x y z (fractional)
Na1 0.2858 0.4816 0.6513
Na2 0.7834 0.5320 0.2927
Au1 0.0347 0.0067 0.9721
F1 0.7851 0.9188 0.6491
F2 0.0716 0.7066 0.7244
F3 0.9977 0.3068 0.2198
F4 0.2842 0.0945 0.2952
F5 0.5345 0.5071 0.9723

formation energy (no corrections) = -1.89 eV/atom
spin magnetization = 0.0 μB/cell
D(E_F) = 0.435 states/eV/cell
space-group type = P-1
energy relative to the lowest polymorph listed for this composition = 31 meV/atom

Entry 5:
Entry from Alexandria: crystalline Na4AuF2 at its relaxed geometry (PBE).

a = 5.4023 Å, b = 5.4023 Å, c = 7.5473 Å
α = 69.03°, β = 69.03°, γ = 90.00°
Element x y z (fractional)
Na1 0.7705 0.7705 0.4590
Na2 0.2295 0.2295 0.5410
Na3 0.0000 0.5000 0.0000
Na4 0.5000 0.0000 0.0000
Au1 0.0000 0.0000 0.0000
F1 0.6106 0.6106 0.7787
F2 0.3894 0.3894 0.2213

formation energy (no corrections) = -1.17 eV/atom
spin magnetization = 0.0 μB/cell
D(E_F) = 2.302 states/eV/cell
space-group type = I4/mmm

Entry 6:
Entry from Alexandria: crystalline NaAuO2F at its relaxed geometry (PBE).

a = 3.9418 Å, b = 3.9418 Å, c = 5.0281 Å
α = 90.00°, β = 90.00°, γ = 90.00°
Element x y z (fractional)
Na1 0.5000 0.5000 0.5000
Au1 0.0000 0.0000 0.0000
O1 0.0000 0.5000 0.0000
O2 0.5000 0.0000 0.0000
F1 0.0000 0.0000 0.5000

formation energy (no corrections) = -0.59 eV/atom
spin magnetization = 1.3 μB/cell
D(E_F) = 4.209 states/eV/cell
space-group type = P4/mmm

Entry 7:
Entry from Alexandria: crystalline NaAuO2F at its relaxed geometry (PBE).

a = 4.2471 Å, b = 4.2471 Å, c = 3.9902 Å
α = 90.00°, β = 90.00°, γ = 90.00°
Element x y z (fractional)
Na1 0.0000 0.0000 0.0000
Au1 0.5000 0.5000 0.5000
O1 0.0000 0.5000 0.0000
O2 0.5000 0.0000 0.0000
F1 0.0000 0.0000 0.5000

formation energy (no corrections) = 0.37 eV/atom
spin magnetization = 0.6 μB/cell
D(E_F) = 7.171 states/eV/cell
space-group type = P4/mmm

Entry 8:
Entry from Alexandria: crystalline NaPAu2F at its relaxed geometry (PBE).

a = 4.7897 Å, b = 4.3005 Å, c = 4.7897 Å
α = 90.00°, β = 90.00°, γ = 90.00°
Element x y z (fractional)
P1 0.0000 0.0000 0.0000
F1 0.0000 0.5000 0.0000
Au1 0.0000 0.0000 0.5000
Au2 0.5000 0.0000 0.0000
Na1 0.5000 0.5000 0.5000

formation energy (no corrections) = -0.56 eV/atom
spin magnetization = 0.0 μB/cell
D(E_F) = 1.451 states/eV/cell
space-group type = P4/mmm

Entry 9:
Entry from Alexandria: crystalline NaPbAu2F8 at its relaxed geometry (PBE).

a = 5.9871 Å, b = 5.9871 Å, c = 6.7135 Å
α = 116.48°, β = 116.48°, γ = 90.00°
Element x y z (fractional)
Na1 0.7500 0.2500 0.5000
Pb1 0.0000 0.0000 0.0000
Au1 0.5000 0.5000 0.0000
Au2 0.2500 0.7500 0.5000
F1 0.6596 0.8391 0.0435
F2 0.3840 0.2044 0.0435
F3 0.5777 0.6325 0.5368
F4 0.9591 0.9042 0.5368
F5 0.0958 0.4223 0.4632
F6 0.3674 0.0409 0.4632
F7 0.1609 0.6160 0.9565
F8 0.7956 0.3404 0.9565

formation energy (no corrections) = -1.59 eV/atom
spin magnetization = 1.0 μB/cell
D(E_F) = 4.730 states/eV/cell
space-group type = I-4

Entry 10:
Entry from Alexandria: crystalline NaPb2AuF at its relaxed geometry (PBE).

a = 5.1576 Å, b = 5.1576 Å, c = 4.2178 Å
α = 90.00°, β = 90.00°, γ = 90.00°
Element x y z (fractional)
Pb1 0.0000 0.5000 0.0000
Pb2 0.5000 0.0000 0.0000
Na1 0.0000 0.0000 0.5000
Au1 0.5000 0.5000 0.5000
F1 0.0000 0.0000 0.0000

formation energy (no corrections) = -0.69 eV/atom
spin magnetization = 0.0 μB/cell
D(E_F) = 2.256 states/eV/cell
space-group type = P4/mmm

Entry 11:
Entry from Alexandria: crystalline NaPdAuF6 at its relaxed geometry (PBE).

a = 5.6700 Å, b = 5.6700 Å, c = 9.5395 Å
α = 90.00°, β = 90.00°, γ = 120.00°
Element x y z (fractional)
Na1 0.3333 0.6667 0.2500
Na2 0.6667 0.3333 0.7500
Pd1 0.6667 0.3333 0.2500
Pd2 0.3333 0.6667 0.7500
Au1 0.0000 0.0000 0.0000
Au2 0.0000 0.0000 0.5000
F1 0.6741 0.6308 0.1317
F2 0.9567 0.3259 0.1317
F3 0.3259 0.9567 0.6317
F4 0.0433 0.6741 0.8683
F5 0.3692 0.3259 0.3683
F6 0.9567 0.6308 0.3683
F7 0.6308 0.9567 0.8683
F8 0.6741 0.0433 0.3683
F9 0.0433 0.3692 0.6317
F10 0.3692 0.0433 0.1317
F11 0.6308 0.6741 0.6317
F12 0.3259 0.3692 0.8683

formation energy (no corrections) = -1.48 eV/atom
spin magnetization = 0.0 μB/cell
D(E_F) = 0.924 states/eV/cell
space-group type = P-31c